Here is a geometry-optimized KSn3C structure from Alexandria. Energies are from PBE-GGA.

The value obtained for the energy above the most stable polymorph in this dataset is 0.000 eV per atom. The formation enthalpy at 0 K comes out at 0.81 eV per atom. As for the density of states at the Fermi level: 4.24 states/eV per cell.

Cell: 5.055 5.055 5.055 Å, 90.00 90.00 90.00°
Fractional positions:
Sn (0.500, 0.000, 0.000)
K (0.500, 0.500, 0.500)
Sn (0.000, 0.000, 0.500)
Sn (0.000, 0.500, 0.000)
C (0.000, 0.000, 0.000)